Here is crystalline ZrWN3 at its relaxed geometry from Alexandria via LeMat-Bulk. Energies are from PBE.

## Properties
E_form (uncorrected) = -757 meV/atom
M_tot = 0.000 μB/atom
raw total energy = -10.053 eV per atom
crystal system = triclinic

a b c (Å): 5.7483 6.3785 7.8719
angles (deg): 108.12 94.29 92.62
Sites, in units of the cell vectors:
Zr 0.4512 0.2309 0.4673
Zr 0.5488 0.7691 0.5327
Zr 0.1262 0.1012 0.8410
Zr 0.8738 0.8988 0.1590
W 0.9756 0.5703 0.6766
W 0.0244 0.4297 0.3234
W 0.3643 0.6817 0.0844
W 0.6357 0.3183 0.9156
N 0.3253 0.3663 0.0337
N 0.6747 0.6337 0.9663
N 0.8479 0.8512 0.7028
N 0.1521 0.1488 0.2972
N 0.1736 0.7906 0.9330
N 0.8264 0.2094 0.0670
N 0.4338 0.1041 0.6907
N 0.5662 0.8959 0.3093
N 0.1000 0.6841 0.2535
N 0.9000 0.3159 0.7465
N 0.2704 0.5472 0.5618
N 0.7296 0.4528 0.4382